Entry 1:
A geometry-optimized RbPrTeSe structure, computed with GGA-PBE.

a = 4.5082 Å, b = 4.5082 Å, c = 25.5274 Å
α = 90.00°, β = 90.00°, γ = 120.00°
Closest atoms and distances in Å follow each position.
Space group R3m (No. 160, hexagonal axes)
One atom of each set of equivalent atoms:
Rb (0.0000, 0.0000, 0.0000)  3 Te 3.62, 3 Se 3.64
Pr (0.0000, 0.0000, 0.1607)  3 Se 3.04, 3 Te 3.21
Te (0.0000, 0.0000, 0.5679)  3 Pr 3.21
Se (0.0000, 0.0000, 0.7662)  3 Pr 3.04

Formation energy (no corrections) = -1.54 eV/atom
Crystal system = trigonal

---

Entry 2:
A geometry-optimized Rb3PrTh3Se8 structure, computed with GGA-PBE.

a = 14.8437 Å, b = 8.5714 Å, c = 9.5826 Å
α = 90.00°, β = 121.13°, γ = 90.00°
Closest atoms and distances in Å follow each position.
Space group C2/m (No. 12)
One atom of each set of equivalent atoms:
Rb (0.0000, 0.0000, 0.0000)  6 Se 3.46-3.50
Rb (0.2500, 0.2500, 0.0000)  6 Se 3.46-3.50
Pr (0.0000, 0.0000, 0.5000)  6 Se 3.02-3.03
Th (0.0000, 0.5000, 0.5000)  6 Se 2.95-2.99
Th (0.2500, 0.2500, 0.5000)  6 Se 2.95-2.99
Se (0.0179, 0.2558, 0.2984)  2 Th 2.95, 1 Pr 3.02
Se (0.2351, 0.5000, 0.7049)  3 Th 2.99
Se (0.2379, 0.0000, 0.7016)  2 Th 2.95, 1 Pr 3.03

Formation energy (no corrections) = -1.62 eV/atom
Crystal system = monoclinic

---

Entry 3:
A geometry-optimized Rb4PrTh3Se8 structure, computed with GGA-PBE.

a = 8.6036 Å, b = 8.6036 Å, c = 24.4346 Å
α = 90.00°, β = 90.00°, γ = 120.00°
Closest atoms and distances in Å follow each position.
Space group R-3m (No. 166, hexagonal axes)
One atom of each set of equivalent atoms:
Rb (0.0000, 0.0000, 0.0000)  6 Se 3.42
Rb (0.0000, 0.5000, 0.0000)  6 Se 3.45-3.47
Pr (0.0000, 0.0000, 0.5000)  6 Se 3.04
Th (0.0000, 0.5000, 0.5000)  6 Se 2.98-3.00
Se (0.0000, 0.0000, 0.2352)  3 Th 3.00
Se (0.0062, 0.5031, 0.7646)  2 Th 2.98, 1 Pr 3.04

Formation energy (no corrections) = -1.57 eV/atom
Crystal system = trigonal

---

Entry 4:
A geometry-optimized Rb3PrTh2Se6 structure, computed with GGA-PBE.

a = 7.4756 Å, b = 12.9466 Å, c = 8.4989 Å
α = 90.00°, β = 107.05°, γ = 90.00°
Closest atoms and distances in Å follow each position.
Space group C2/m (No. 12)
One atom of each set of equivalent atoms:
Rb (0.0000, 0.0000, 0.0000)  6 Se 3.41-3.47
Rb (0.0000, 0.3354, 0.0000)  6 Se 3.42-3.48
Pr (0.0000, 0.5000, 0.5000)  6 Se 3.05
Th (0.0000, 0.1669, 0.5000)  6 Se 2.97-2.98
Se (0.2268, 0.0000, 0.7053)  2 Th 2.98, 1 Pr 3.05
Se (0.2395, 0.3292, 0.7059)  2 Th 2.97-2.98, 1 Pr 3.05

Formation energy (no corrections) = -1.59 eV/atom
Crystal system = monoclinic

---

Entry 5:
A geometry-optimized Rb4Pr3ThSe8 structure, computed with GGA-PBE.

a = 8.7533 Å, b = 8.7533 Å, c = 24.1672 Å
α = 90.00°, β = 90.00°, γ = 120.00°
Closest atoms and distances in Å follow each position.
Space group R-3m (No. 166, hexagonal axes)
One atom of each set of equivalent atoms:
Rb (0.0000, 0.0000, 0.0000)  6 Se 3.52
Rb (0.0000, 0.5000, 0.0000)  6 Se 3.46-3.47
Pr (0.0000, 0.5000, 0.5000)  6 Se 3.02-3.03
Th (0.0000, 0.0000, 0.5000)  6 Se 2.96
Se (0.0000, 0.0000, 0.2350)  3 Pr 3.02
Se (0.0075, 0.5038, 0.2343)  1 Th 2.96, 2 Pr 3.03

Formation energy (no corrections) = -1.68 eV/atom
Crystal system = trigonal

---

Entry 6:
A geometry-optimized Rb2PrTlSe4 structure, computed with GGA-PBE.

a = 12.5540 Å, b = 13.0657 Å, c = 8.9822 Å
α = 90.00°, β = 134.09°, γ = 90.00°
Closest atoms and distances in Å follow each position.
Space group C2/c (No. 15)
One atom of each set of equivalent atoms:
Rb (0.0000, 0.0000, 0.0000)  6 Se 3.40-3.48
Rb (0.2500, 0.2500, 0.0000)  6 Se 3.32-3.46
Pr (0.2500, 0.2500, 0.5000)  6 Se 2.98-3.11
Tl (0.0000, 0.5000, 0.0000)  4 Se 2.81-3.09
Se (0.0034, 0.2591, 0.0338)  2 Pr 2.98-3.02, 1 Tl 3.16, 1 Rb 3.32
Se (0.2111, 0.4864, 0.4755)  2 Tl 2.81-3.09, 1 Pr 3.11

Formation energy (no corrections) = -1.08 eV/atom
Crystal system = monoclinic